# MnFe2Ag, optimized geometry, DFT PBE
data_MnFe2Ag
_chemical_formula_sum 'Mn2 Fe4 Ag2'
_cell_length_a 3.7123
_cell_length_b 3.7533
_cell_length_c 8.0820
_cell_angle_alpha 90.00
_cell_angle_beta 90.00
_cell_angle_gamma 90.00
_space_group_name_H-M_alt 'I m m m'
_space_group_IT_number 71
_space_group_name_Hall '-I 2 2'
loop_
_atom_site_label
_atom_site_fract_x
_atom_site_fract_y
_atom_site_fract_z
Mn1 0.0000 0.0000 0.0000
Fe1 0.0000 0.5000 0.2502
Ag1 0.0000 0.0000 0.5000
# Fermi-level density of states = 2.337 states/eV/f.u.
# Spin magnetization = 2.267 μB per atom
# DFT total energy = -6.854 eV/atom
# Formation enthalpy at 0 K = 0.3827 eV/atom
# Crystal system = orthorhombic